First-principles (PBE) data for crystalline BaW2Au at its relaxed geometry, as listed in Alexandria.

Lattice parameters (Å, degrees): 12.5012 2.8768 5.2461 90.00 112.40 90.00
Sites, in units of the cell vectors:
Ba (0.0000, 0.0000, 0.0000)
Ba (0.5000, 0.5000, 0.0000)
W (0.2186, 0.0000, 0.7163)
W (0.2814, 0.5000, 0.2837)
W (0.7186, 0.5000, 0.7163)
W (0.7814, 0.0000, 0.2837)
Au (0.0000, 0.5000, 0.5000)
Au (0.5000, 0.0000, 0.5000)

Results
Its energy of formation from the pure elements is 0.9973 eV per atom. The space group is C2/m. As for the excess energy over the best structure of this formula in the dataset: 1.932 eV per formula unit. Its total magnetization is 0.00 μB/cell.

***

First-principles (PBE) data for crystalline Ba2CeNdO6 at its relaxed geometry, as listed in Alexandria.

Lattice parameters (Å, degrees): 6.3224 6.3610 10.9487 90.00 125.14 90.00
Sites, in units of the cell vectors:
Ba (0.2403, 0.0304, 0.2500)
Ba (0.2403, 0.4696, 0.7500)
Ba (0.7597, 0.5304, 0.2500)
Ba (0.7597, 0.9696, 0.7500)
Ce (0.0000, 0.0000, 0.5000)
Ce (0.0000, 0.5000, 0.0000)
Nd (0.5000, 0.0000, 0.0000)
Nd (0.5000, 0.5000, 0.5000)
O (0.1638, 0.2235, 0.9534)
O (0.1638, 0.2765, 0.4534)
O (0.2310, 0.7106, 0.9552)
O (0.2310, 0.7894, 0.4552)
O (0.3262, 0.0245, 0.7432)
O (0.3262, 0.4755, 0.2432)
O (0.6738, 0.5245, 0.7568)
O (0.6738, 0.9755, 0.2568)
O (0.7690, 0.2106, 0.5448)
O (0.7690, 0.2894, 0.0448)
O (0.8362, 0.7235, 0.5466)
O (0.8362, 0.7765, 0.0466)

Results
The space group is P2_1/c. The formation energy (no corrections) comes out at -2885 meV per atom. Its total magnetization is 2.18 μB/cell.

***

First-principles (PBE) data for crystalline Ce2UNiS5 at its relaxed geometry, as listed in Alexandria.

Lattice parameters (Å, degrees): 8.3688 8.3688 11.9233 90.00 90.00 153.65
Sites, in units of the cell vectors:
Ce (0.1147, 0.8853, 0.5000)
Ce (0.1165, 0.8835, 0.8489)
Ce (0.8835, 0.1165, 0.3489)
Ce (0.8853, 0.1147, 0.0000)
U (0.1776, 0.8224, 0.1781)
U (0.8224, 0.1776, 0.6781)
Ni (0.4472, 0.5528, 0.5669)
Ni (0.5528, 0.4472, 0.0669)
S (0.0169, 0.9831, 0.1592)
S (0.3030, 0.6970, 0.8397)
S (0.3152, 0.6848, 0.5158)
S (0.3439, 0.6561, 0.1740)
S (0.4937, 0.5063, 0.9004)
S (0.5063, 0.4937, 0.4004)
S (0.6561, 0.3439, 0.6740)
S (0.6848, 0.3152, 0.0158)
S (0.6970, 0.3030, 0.3397)
S (0.9831, 0.0169, 0.6592)

Results
The space group is Cmc2_1. The formation energy (no corrections) comes out at -1584 meV per atom. Its total magnetization is 4.40 μB/cell.

***

First-principles (PBE) data for crystalline La5Ir2Pt at its relaxed geometry, as listed in Alexandria.

Lattice parameters (Å, degrees): 7.2615 7.2615 14.2782 90.00 90.00 133.03
Sites, in units of the cell vectors:
La (0.0533, 0.9467, 0.6160)
La (0.0533, 0.9467, 0.8840)
La (0.2428, 0.7572, 0.2500)
La (0.3335, 0.6665, 0.5628)
La (0.3335, 0.6665, 0.9372)
La (0.6665, 0.3335, 0.0628)
La (0.6665, 0.3335, 0.4372)
La (0.7572, 0.2428, 0.7500)
La (0.9467, 0.0533, 0.1160)
La (0.9467, 0.0533, 0.3840)
Ir (0.1490, 0.8510, 0.0589)
Ir (0.1490, 0.8510, 0.4411)
Ir (0.8510, 0.1490, 0.5589)
Ir (0.8510, 0.1490, 0.9411)
Pt (0.2215, 0.7785, 0.7500)
Pt (0.7785, 0.2215, 0.2500)

Results
Its energy of formation from the pure elements is -0.7004 eV per atom. The space group is Cmcm. Its total magnetization is 0.00 μB/cell.

***

First-principles (PBE) data for crystalline CeYZnCd at its relaxed geometry, as listed in Alexandria.

Lattice parameters (Å, degrees): 7.4234 7.4234 7.4234 90.00 90.00 90.00
Sites, in units of the cell vectors:
Ce (0.0000, 0.0000, 0.0000)
Ce (0.0000, 0.5000, 0.5000)
Ce (0.5000, 0.0000, 0.5000)
Ce (0.5000, 0.5000, 0.0000)
Y (0.0000, 0.0000, 0.5000)
Y (0.0000, 0.5000, 0.0000)
Y (0.5000, 0.0000, 0.0000)
Y (0.5000, 0.5000, 0.5000)
Zn (0.2500, 0.2500, 0.2500)
Zn (0.2500, 0.7500, 0.7500)
Zn (0.7500, 0.2500, 0.7500)
Zn (0.7500, 0.7500, 0.2500)
Cd (0.2500, 0.2500, 0.7500)
Cd (0.2500, 0.7500, 0.2500)
Cd (0.7500, 0.2500, 0.2500)
Cd (0.7500, 0.7500, 0.7500)

Results
Its energy of formation from the pure elements is -0.2183 eV per atom. The space group is F-43m. As for the excess energy over the best structure of this formula in the dataset: 0.123 eV per formula unit. Its total magnetization is 6.74 μB/cell.

***

First-principles (PBE) data for crystalline LiScNbNi2 at its relaxed geometry, as listed in Alexandria.

Lattice parameters (Å, degrees): 4.3581 4.3581 4.2976 90.00 90.00 90.00
Sites, in units of the cell vectors:
Li (0.0000, 0.0000, 0.0000)
Sc (0.0000, 0.0000, 0.5000)
Nb (0.5000, 0.5000, 0.0000)
Ni (0.0000, 0.5000, 0.5000)
Ni (0.5000, 0.0000, 0.5000)

Results
Its energy of formation from the pure elements is 0.9234 eV per atom. The space group is P4/mmm. Its total magnetization is 1.02 μB/cell.

***

First-principles (PBE) data for crystalline TaV2CuSn at its relaxed geometry, as listed in Alexandria.

Lattice parameters (Å, degrees): 4.4313 4.4313 4.6717 90.00 90.00 90.00
Sites, in units of the cell vectors:
Ta (0.0000, 0.0000, 0.0000)
V (0.0000, 0.5000, 0.5000)
V (0.5000, 0.0000, 0.5000)
Cu (0.0000, 0.0000, 0.5000)
Sn (0.5000, 0.5000, 0.0000)

Results
Its energy of formation from the pure elements is 0.8950 eV per atom. The space group is P4/mmm. Its total magnetization is 0.00 μB/cell.

***

First-principles (PBE) data for crystalline Nd3Cu3Ag at its relaxed geometry, as listed in Alexandria.

Lattice parameters (Å, degrees): 5.6175 5.6175 13.9756 90.00 90.00 134.30
Sites, in units of the cell vectors:
Nd (0.0218, 0.9782, 0.7500)
Nd (0.3026, 0.6974, 0.6014)
Nd (0.3026, 0.6974, 0.8986)
Nd (0.6974, 0.3026, 0.1014)
Nd (0.6974, 0.3026, 0.3986)
Nd (0.9782, 0.0218, 0.2500)
Cu (0.2707, 0.7293, 0.2500)
Cu (0.4071, 0.5929, 0.0994)
Cu (0.4071, 0.5929, 0.4006)
Cu (0.5929, 0.4071, 0.5994)
Cu (0.5929, 0.4071, 0.9006)
Cu (0.7293, 0.2707, 0.7500)
Ag (0.0000, 0.0000, 0.0000)
Ag (0.0000, 0.0000, 0.5000)

Results
Its energy of formation from the pure elements is -0.1869 eV per atom. The space group is Cmcm. Its total magnetization is 0.00 μB/cell.

***

Which formula does entry 5 have?
CeYZnCd

***

Look up the total magnetization of the eighth one.
0.00 μB/cell